DFT (PBE) results for an optimized crystal structure of Ba3P.

Unit cell a=5.2912 b=5.2912 c=5.2912 alpha=90.00 beta=90.00 gamma=90.00
Closest atoms and distances in Å follow each position.
Atoms (fractional coordinates):
Ba: 0.0000 0.5000 0.5000  8 Ba 3.74, 4 P 3.74
Ba: 0.5000 0.0000 0.5000  8 Ba 3.74, 4 P 3.74
Ba: 0.5000 0.5000 0.0000  8 Ba 3.74, 4 P 3.74
P: 0.0000 0.0000 0.0000  12 Ba 3.74

Properties
For the formation enthalpy at 0 K, the calculation gives -234 meV/atom. The total magnetization comes out at 0.00 μB/f.u. The symmetry is Pm-3m. The value obtained for the excess energy over the best structure of this formula in the dataset is 0.349 eV/atom.

=====

DFT (PBE) results for an optimized crystal structure of DyAl2Si.

Unit cell a=4.3244 b=4.1615 c=4.1615 alpha=90.00 beta=90.00 gamma=90.00
Closest atoms and distances in Å follow each position.
Atoms (fractional coordinates):
Al: 0.0000 0.5000 0.0000  4 Al 2.94, 4 Dy 3.00, 4 Si 3.00
Si: 0.5000 0.0000 0.0000  4 Dy 2.94, 8 Al 3.00
Dy: 0.5000 0.5000 0.5000  4 Si 2.94, 8 Al 3.00
Al: 0.0000 0.0000 0.5000  4 Al 2.94, 4 Dy 3.00, 4 Si 3.00

Properties
The value obtained for the uncorrected formation energy is -0.372 eV/atom. The total magnetization comes out at 0.00 μB/f.u. The symmetry is P4/mmm.

=====

Copy entry 2 word for word.
DFT (PBE) results for an optimized crystal structure of DyAl2Si.

Unit cell a=4.3244 b=4.1615 c=4.1615 alpha=90.00 beta=90.00 gamma=90.00
Closest atoms and distances in Å follow each position.
Atoms (fractional coordinates):
Al: 0.0000 0.5000 0.0000  4 Al 2.94, 4 Dy 3.00, 4 Si 3.00
Si: 0.5000 0.0000 0.0000  4 Dy 2.94, 8 Al 3.00
Dy: 0.5000 0.5000 0.5000  4 Si 2.94, 8 Al 3.00
Al: 0.0000 0.0000 0.5000  4 Al 2.94, 4 Dy 3.00, 4 Si 3.00

Properties
The value obtained for the uncorrected formation energy is -0.372 eV/atom. The total magnetization comes out at 0.00 μB/f.u. The symmetry is P4/mmm.